First-principles (PBE-GGA) data for YPtSe2 after structural relaxation, as listed in the Alexandria database.

Output
Raw total energy = -5.4014 eV per atom
Total magnetic moment = 0.0 μB per cell
Calculated volume = 83 Å³/f.u.

Cell: 6.9290 6.9290 6.9290 Å, 90.00 90.00 90.00°
With the nearest neighbours (Å) after each atom.
Space group F-43m (No. 216)
One atom of each set of equivalent atoms:
Y1 0.0000 0.0000 0.0000 [4 per cell]  4 Se 3.00, 4 Pt 3.00
Pt1 0.2500 0.2500 0.7500 [4 per cell]  4 Se 3.00, 4 Y 3.00
Se1 0.0000 0.0000 0.5000 [4 per cell]  4 Se 3.00, 4 Pt 3.00
Se2 0.2500 0.2500 0.2500 [4 per cell]  4 Se 3.00, 4 Y 3.00

=====

First-principles (PBE-GGA) data for HfMgNiIr after structural relaxation, as listed in the Alexandria database.

Output
DFT formation energy = -0.62 eV/atom
Raw total energy = -7.1690 eV per atom
Total magnetic moment = 0.0 μB per cell
Calculated volume = 63 Å³/f.u.

Cell: 6.3248 6.3248 6.3248 Å, 90.00 90.00 90.00°
With the nearest neighbours (Å) after each atom.
Space group F-43m (No. 216)
One atom of each set of equivalent atoms:
Hf1 0.0000 0.0000 0.0000 [4 per cell]  4 Ni 2.74, 4 Ir 2.74
Mg1 0.0000 0.0000 0.5000 [4 per cell]  4 Ir 2.74, 4 Ni 2.74
Ni1 0.2500 0.2500 0.7500 [4 per cell]  4 Mg 2.74, 4 Hf 2.74
Ir1 0.2500 0.2500 0.2500 [4 per cell]  4 Hf 2.74, 4 Mg 2.74

=====

First-principles (PBE-GGA) data for Co2AgIr after structural relaxation, as listed in the Alexandria database.

Output
DFT formation energy = 0.40 eV/atom
Raw total energy = -6.0787 eV per atom
Total magnetic moment = 9.0 μB per cell
Calculated volume = 55 Å³/f.u.

Cell: 3.7503 3.7503 7.8004 Å, 90.00 90.00 90.00°
With the nearest neighbours (Å) after each atom.
Space group I-4m2 (No. 119)
One atom of each set of equivalent atoms:
Co1 0.0000 0.0000 0.0000 [2 per cell]  4 Ag 2.65, 4 Co 2.71, 4 Ir 2.71
Co2 0.0000 0.5000 0.2500 [2 per cell]  4 Ir 2.65, 4 Co 2.71, 4 Ag 2.71
Ag1 0.0000 0.0000 0.5000 [2 per cell]  8 Co 2.65-2.71, 4 Ir 2.71
Ir1 0.0000 0.5000 0.7500 [2 per cell]  8 Co 2.65-2.71, 4 Ag 2.71

=====

First-principles (PBE-GGA) data for HoThH2 after structural relaxation, as listed in the Alexandria database.

Output
Excess energy over the best structure of this formula in the dataset = 100 meV/atom
Raw total energy = -4.8869 eV per atom
Total magnetic moment = 0.0 μB per cell
Calculated volume = 64 Å³/f.u.

Cell: 3.4811 3.4811 18.3544 Å, 90.00 90.00 120.00°
With the nearest neighbours (Å) after each atom.
Space group R3m (No. 160, hexagonal axes)
One atom of each set of equivalent atoms:
Ho1 0.0000 0.0000 0.0000 [3 per cell]  6 H 2.38-2.41
Th1 0.0000 0.0000 0.1756 [3 per cell]  6 H 2.58-2.77
H1 0.0000 0.0000 0.4054 [3 per cell]  3 Ho 2.41
H2 0.0000 0.0000 0.5974 [3 per cell]  3 Ho 2.38, 3 Th 2.58

=====

First-principles (PBE-GGA) data for Cd2InHg after structural relaxation, as listed in the Alexandria database.

Output
Excess energy over the best structure of this formula in the dataset = 8 meV/atom
DFT formation energy = 0.03 eV/atom
Raw total energy = -1.1906 eV per atom
Total magnetic moment = 0.0 μB per cell
Calculated volume = 97 Å³/f.u.

Cell: 3.2821 4.5276 6.5190 Å, 90.00 90.00 90.00°
With the nearest neighbours (Å) after each atom.
Space group Pmm2 (No. 25)
One atom of each set of equivalent atoms:
Cd1 0.0000 0.0000 0.0000 [1 per cell]  2 Hg 3.13-3.39, 6 Cd 3.20-3.28, 4 In 3.26
Cd2 0.5000 0.5000 0.2377 [1 per cell]  6 Cd 3.20-3.28, 4 Hg 3.21, 2 In 3.22-3.30
In1 0.5000 0.5000 0.7434 [1 per cell]  6 Cd 3.22-3.30, 4 Hg 3.28, 2 In 3.28
Hg1 0.0000 0.0000 0.4799 [1 per cell]  6 Cd 3.13-3.39, 4 In 3.28, 2 Hg 3.28

=====

First-principles (PBE-GGA) data for CdNi3N after structural relaxation, as listed in the Alexandria database.

Output
Excess energy over the best structure of this formula in the dataset = 211 meV/atom
Raw total energy = -5.1707 eV per atom
Total magnetic moment = 0.0 μB per cell
Calculated volume = 63 Å³/f.u.

Cell: 4.8591 5.1821 5.0206 Å, 90.00 90.63 90.00°
With the nearest neighbours (Å) after each atom.
Space group P2_1/m (No. 11)
One atom of each set of equivalent atoms:
Cd1 0.1077 0.2500 0.1263 [2 per cell]  10 Ni 2.64-2.89
Ni1 0.0639 0.7500 0.3751 [2 per cell]  1 N 1.76
Ni2 0.3955 0.0018 0.7307 [4 per cell]  2 N 1.87
N1 0.4159 0.7500 0.4656 [2 per cell]  5 Ni 1.76-1.87

=====

First-principles (PBE-GGA) data for CrAgOs2 after structural relaxation, as listed in the Alexandria database.

Output
Excess energy over the best structure of this formula in the dataset = 140 meV/atom
DFT formation energy = 0.41 eV/atom
Raw total energy = -8.3198 eV per atom
Total magnetic moment = 0.0 μB per cell
Calculated volume = 59 Å³/f.u.

Cell: 2.7249 2.7249 27.3180 Å, 90.00 90.00 120.00°
With the nearest neighbours (Å) after each atom.
Space group R3m (No. 160, hexagonal axes)
One atom of each set of equivalent atoms:
Cr1 0.0000 0.0000 0.0000 [3 per cell]  3 Os 2.59, 6 Cr 2.72, 3 Ag 2.84
Ag1 0.0000 0.0000 0.7534 [3 per cell]  6 Ag 2.72, 3 Cr 2.84, 3 Os 2.95
Os1 0.0000 0.0000 0.2582 [3 per cell]  3 Cr 2.58, 9 Os 2.70-2.72
Os2 0.0000 0.0000 0.5113 [3 per cell]  9 Os 2.70-2.72, 3 Ag 2.95

=====

First-principles (PBE-GGA) data for SrAsO2 after structural relaxation, as listed in the Alexandria database.

Output
Raw total energy = -4.9130 eV per atom
Total magnetic moment = 0.7 μB per cell
Calculated volume = 70 Å³/f.u.

Cell: 3.4528 3.4528 20.2101 Å, 90.00 90.00 120.00°
With the nearest neighbours (Å) after each atom.
Space group R-3m (No. 166, hexagonal axes)
One atom of each set of equivalent atoms:
Sr1 0.0000 0.0000 0.0000 [3 per cell]  2 O 2.33
As1 0.0000 0.0000 0.5000 [3 per cell]  6 O 2.25
O1 0.0000 0.0000 0.1155 [6 per cell]  3 As 2.25, 1 Sr 2.33

=====

First-principles (PBE-GGA) data for BaGaBr3 after structural relaxation, as listed in the Alexandria database.

Output
Excess energy over the best structure of this formula in the dataset = 255 meV/atom
Raw total energy = -3.2133 eV per atom
Total magnetic moment = 0.0 μB per cell
Calculated volume = 179 Å³/f.u.

Cell: 5.6352 5.6352 5.6352 Å, 90.00 90.00 90.00°
With the nearest neighbours (Å) after each atom.
Space group Pm-3m (No. 221)
One atom of each set of equivalent atoms:
Ba1 0.0000 0.0000 0.0000 [1 per cell]  12 Br 3.98
Ga1 0.5000 0.5000 0.5000 [1 per cell]  6 Br 2.82
Br1 0.0000 0.5000 0.5000 [3 per cell]  2 Ga 2.82

=====

First-principles (PBE-GGA) data for SiHg3S after structural relaxation, as listed in the Alexandria database.

Output
Excess energy over the best structure of this formula in the dataset = 374 meV/atom
Raw total energy = -1.2847 eV per atom
Total magnetic moment = 0.0 μB per cell
Calculated volume = 141 Å³/f.u.

Cell: 5.2038 5.2038 5.2038 Å, 90.00 90.00 90.00°
With the nearest neighbours (Å) after each atom.
Space group Pm-3m (No. 221)
One atom of each set of equivalent atoms:
Si1 0.0000 0.0000 0.0000 [1 per cell]  12 Hg 3.68
Hg1 0.0000 0.5000 0.5000 [3 per cell]  2 S 2.60
S1 0.5000 0.5000 0.5000 [1 per cell]  6 Hg 2.60

=====

First-principles (PBE-GGA) data for Li3Cu2Pd after structural relaxation, as listed in the Alexandria database.

Output
Excess energy over the best structure of this formula in the dataset = 0 meV/atom
DFT formation energy = -0.15 eV/atom
Raw total energy = -3.3337 eV per atom
Total magnetic moment = 0.0 μB per cell
Calculated volume = 84 Å³/f.u.

Cell: 5.1416 13.3608 4.8952 Å, 90.00 90.00 90.00°
With the nearest neighbours (Å) after each atom.
Space group Cmcm (No. 63)
One atom of each set of equivalent atoms:
Li1 0.0000 0.1443 0.2500 [4 per cell]  2 Pd 2.57, 4 Cu 2.62, 6 Li 2.74-2.80
Li2 0.2455 0.3263 0.2500 [8 per cell]  5 Li 2.52-2.80, 2 Cu 2.62, 3 Pd 2.69-2.77
Cu1 0.2501 0.0000 0.0000 [8 per cell]  4 Cu 2.45-2.57, 4 Li 2.62, 2 Pd 2.68
Pd1 0.0000 0.3498 0.7500 [4 per cell]  8 Li 2.57-2.77, 4 Cu 2.68

=====

First-principles (PBE-GGA) data for SrRe3Os after structural relaxation, as listed in the Alexandria database.

Output
Excess energy over the best structure of this formula in the dataset = 0 meV/atom
DFT formation energy = 1.65 eV/atom
Raw total energy = -8.4052 eV per atom
Total magnetic moment = 0.7 μB per cell
Calculated volume = 112 Å³/f.u.

Cell: 4.8251 4.8251 4.8251 Å, 90.00 90.00 90.00°
With the nearest neighbours (Å) after each atom.
Space group Pm-3m (No. 221)
One atom of each set of equivalent atoms:
Sr1 0.0000 0.0000 0.0000 [1 per cell]  12 Re 3.41
Re1 0.0000 0.5000 0.5000 [3 per cell]  2 Os 2.41
Os1 0.5000 0.5000 0.5000 [1 per cell]  6 Re 2.41

=====

First-principles (PBE-GGA) data for Al3SiRu4 after structural relaxation, as listed in the Alexandria database.

Output
Raw total energy = -7.4006 eV per atom
Total magnetic moment = 0.0 μB per cell
Calculated volume = 106 Å³/f.u.

Cell: 2.9782 2.9782 11.9995 Å, 90.00 90.00 90.00°
With the nearest neighbours (Å) after each atom.
Space group P4/mmm (No. 123)
One atom of each set of equivalent atoms:
Al1 0.0000 0.0000 0.0000 [1 per cell]  8 Ru 2.60
Al2 0.0000 0.0000 0.2513 [2 per cell]  8 Ru 2.58-2.63
Si1 0.0000 0.0000 0.5000 [1 per cell]  8 Ru 2.53
Ru1 0.5000 0.5000 0.1269 [2 per cell]  8 Al 2.58-2.60
Ru2 0.5000 0.5000 0.3832 [2 per cell]  4 Si 2.53, 4 Al 2.63, 1 Ru 2.80

=====

First-principles (PBE-GGA) data for Er2TmBiC after structural relaxation, as listed in the Alexandria database.

Output
DFT formation energy = -0.54 eV/atom
Raw total energy = -5.8770 eV per atom
Total magnetic moment = 0.0 μB per cell
Calculated volume = 115 Å³/f.u.

Cell: 4.8799 4.8799 4.8407 Å, 90.00 90.00 90.00°
With the nearest neighbours (Å) after each atom.
Space group P4/mmm (No. 123)
One atom of each set of equivalent atoms:
Er1 0.0000 0.5000 0.0000 [2 per cell]  2 C 2.44
Tm1 0.0000 0.0000 0.5000 [1 per cell]  2 C 2.42
Bi1 0.5000 0.5000 0.5000 [1 per cell]  8 Er 3.44, 4 Tm 3.45
C1 0.0000 0.0000 0.0000 [1 per cell]  2 Tm 2.42, 4 Er 2.44

=====

First-principles (PBE-GGA) data for HoAlNi after structural relaxation, as listed in the Alexandria database.

Output
DFT formation energy = -0.49 eV/atom
Raw total energy = -5.1874 eV per atom
Total magnetic moment = 0.0 μB per cell
Calculated volume = 57 Å³/f.u.

Cell: 4.2438 4.2438 3.6677 Å, 90.00 90.00 120.00°
With the nearest neighbours (Å) after each atom.
Space group P-6m2 (No. 187)
One atom of each set of equivalent atoms:
Ho1 0.0000 0.0000 0.0000 [1 per cell]  6 Ni 3.06, 6 Al 3.06
Al1 0.6667 0.3333 0.5000 [1 per cell]  3 Ni 2.45
Ni1 0.3333 0.6667 0.5000 [1 per cell]  3 Al 2.45

=====

First-principles (PBE-GGA) data for VTcCl after structural relaxation, as listed in the Alexandria database.

Output
Excess energy over the best structure of this formula in the dataset = 18 meV/atom
Raw total energy = -7.5114 eV per atom
Total magnetic moment = 0.0 μB per cell
Calculated volume = 50 Å³/f.u.

Cell: 2.9438 3.0222 13.0048 Å, 92.34 90.25 119.09°
With the nearest neighbours (Å) after each atom.
Space group P1 (No. 1)
One atom of each set of equivalent atoms:
V1 0.0000 0.0000 0.0000 [1 per cell]  3 Cl 2.35-2.44, 2 Tc 2.37-2.43
V2 0.3217 0.5040 0.4558 [1 per cell]  3 Cl 2.37-2.45, 2 Tc 2.38-2.49
Tc1 0.2077 0.8933 0.3100 [1 per cell]  2 V 2.38-2.49
Tc2 0.5248 0.5584 0.1433 [1 per cell]  2 V 2.37-2.43
Cl1 0.6705 0.2969 0.8710 [1 per cell]  3 V 2.35-2.44
Cl2 0.9955 0.8564 0.5844 [1 per cell]  3 V 2.37-2.45

=====

First-principles (PBE-GGA) data for PmDy2Hg2 after structural relaxation, as listed in the Alexandria database.

Output
Excess energy over the best structure of this formula in the dataset = 152 meV/atom
DFT formation energy = -0.23 eV/atom
Raw total energy = -3.1433 eV per atom
Total magnetic moment = 0.6 μB per cell
Calculated volume = 150 Å³/f.u.

Cell: 5.2093 5.2093 6.3764 Å, 90.00 90.00 120.00°
With the nearest neighbours (Å) after each atom.
Space group P-3m1 (No. 164)
One atom of each set of equivalent atoms:
Pm1 0.0000 0.0000 0.0000 [1 per cell]  6 Hg 3.22
Dy1 0.3333 0.6667 0.6582 [2 per cell]  5 Hg 3.06-3.32
Hg1 0.3333 0.6667 0.1788 [2 per cell]  5 Dy 3.06-3.32, 3 Pm 3.22

=====

First-principles (PBE-GGA) data for TlSiHg2 after structural relaxation, as listed in the Alexandria database.

Output
Raw total energy = -1.7688 eV per atom
Total magnetic moment = 0.0 μB per cell
Calculated volume = 121 Å³/f.u.

Cell: 5.4361 5.4361 16.3195 Å, 90.00 90.00 90.00°
With the nearest neighbours (Å) after each atom.
Space group I-42d (No. 122)
One atom of each set of equivalent atoms:
Tl1 0.0000 0.0000 0.0000 [4 per cell]  4 Hg 3.15
Si1 0.0000 0.0000 0.5000 [4 per cell]  4 Hg 2.56
Hg1 0.1371 0.2500 0.6250 [8 per cell]  2 Si 2.56

=====

First-principles (PBE-GGA) data for SnIrAu after structural relaxation, as listed in the Alexandria database.

Output
Excess energy over the best structure of this formula in the dataset = 136 meV/atom
DFT formation energy = 0.15 eV/atom
Raw total energy = -5.2291 eV per atom
Total magnetic moment = 0.0 μB per cell
Calculated volume = 56 Å³/f.u.

Cell: 4.5010 4.5010 3.1771 Å, 90.00 90.00 120.00°
With the nearest neighbours (Å) after each atom.
Space group P3m1 (No. 156)
One atom of each set of equivalent atoms:
Sn1 0.0000 0.0000 0.0000 [1 per cell]  3 Ir 2.62
Ir1 0.3333 0.6667 0.8937 [1 per cell]  3 Sn 2.62
Au1 0.6667 0.3333 0.4304 [1 per cell]  6 Sn 2.94-3.17, 6 Ir 2.99-3.11, 2 Au 3.18

=====

First-principles (PBE-GGA) data for Hf5Mn2Ga after structural relaxation, as listed in the Alexandria database.

Output
DFT formation energy = -0.14 eV/atom
Raw total energy = -9.0284 eV per atom
Total magnetic moment = 0.0 μB per cell
Calculated volume = 149 Å³/f.u.

Cell: 6.8645 6.8645 12.6583 Å, 90.00 90.00 90.00°
With the nearest neighbours (Å) after each atom.
Space group I4/mcm (No. 140)
One atom of each set of equivalent atoms:
Hf1 0.0000 0.0000 0.0000 [4 per cell]  4 Mn 2.77
Hf2 0.1651 0.3349 0.1466 [16 per cell]  3 Mn 2.68-2.85, 2 Ga 2.88
Mn1 0.1123 0.3877 0.5000 [8 per cell]  1 Mn 2.18
Ga1 0.0000 0.0000 0.2500 [4 per cell]  10 Hf 2.88-3.16